1.
This record from Alexandria via LeMat-Bulk describes a relaxed SrZr2W crystal. The functional is GGA-PBE.

Summary:
energy relative to the elements = 853 meV/atom
D(E_F) = 6.31 states/eV per cell
V = 91.7 Å³/cell
total moment = 0.0 μB/f.u.
space-group type = No. 123
E above lowest polymorph = 558 meV/atom

a b c (Å): 4.9036 4.9036 3.8151
angles (deg): 90.00 90.00 90.00
Positions (direct):
Sr1 0.0000 0.0000 0.0000
Zr1 0.0000 0.5000 0.5000
Zr2 0.5000 0.0000 0.5000
W1 0.5000 0.5000 0.0000

---

2.
This record from Alexandria via LeMat-Bulk describes a relaxed SrZr2W crystal. The functional is GGA-PBE.

Summary:
energy relative to the elements = 295 meV/atom
D(E_F) = 3.62 states/eV per cell
V = 107.8 Å³/cell
total moment = 0.0 μB/f.u.
space-group type = No. 123
E above lowest polymorph = 0 meV/atom

a b c (Å): 3.3947 3.3947 9.3546
angles (deg): 90.00 90.00 90.00
Positions (direct):
Sr1 0.0000 0.0000 0.0000
Zr1 0.5000 0.5000 0.3345
Zr2 0.5000 0.5000 0.6655
W1 0.0000 0.0000 0.5000

---

3.
This record from Alexandria via LeMat-Bulk describes a relaxed Sr2ZrW crystal. The functional is GGA-PBE.

Summary:
energy relative to the elements = 793 meV/atom
D(E_F) = 3.78 states/eV per cell
V = 123.0 Å³/cell
total moment = 0.0 μB/f.u.
space-group type = No. 44
E above lowest polymorph = 275 meV/atom

a b c (Å): 6.7784 6.7784 6.7784
angles (deg): 150.32 126.40 62.48
Positions (direct):
Sr1 0.0000 0.0000 0.0000
Sr2 0.6974 0.1974 0.5000
Zr1 0.4050 0.4050 0.0000
W1 0.2389 0.7389 0.5000